Material: LiGa2Ge
Method: DFT, PBE-GGA
State: optimized geometry

Computed properties:
total magnetic moment: 0.0 μB/cell
formation enthalpy at 0 K: -0.125 eV/atom

The structure in CIF format:
```
data_LiGa2Ge
_space_group_name_H-M_alt 'P 4/m m m'
_space_group_IT_number 123
_space_group_name_Hall '-P 4 2'
_cell_length_a 4.014
_cell_length_b 4.014
_cell_length_c 4.264
_cell_angle_alpha 90.00
_cell_angle_beta 90.00
_cell_angle_gamma 90.00
loop_
_atom_site_label
_atom_site_fract_x
_atom_site_fract_y
_atom_site_fract_z
Li1 0.000 0.000 0.000
Ga1 0.000 0.500 0.500
Ge1 0.500 0.500 0.000
```

Material: CuRe2Os
Method: DFT, PBE-GGA
State: optimized geometry

Computed properties:
total magnetic moment: 0.0 μB/cell
formation enthalpy at 0 K: 0.231 eV/atom

The structure in CIF format:
```
data_CuRe2Os
_space_group_name_H-M_alt 'P 4 m m'
_space_group_IT_number 99
_cell_length_a 2.755
_cell_length_b 2.755
_cell_length_c 7.498
_cell_angle_alpha 90.00
_cell_angle_beta 90.00
_cell_angle_gamma 90.00
loop_
_space_group_symop_operation_xyz
'x,y,z'
'-y,x,z'
'-x,-y,z'
'y,-x,z'
'-x,y,z'
'y,x,z'
'x,-y,z'
'-y,-x,z'
loop_
_atom_site_label
_atom_site_fract_x
_atom_site_fract_y
_atom_site_fract_z
Cu1 0.000 0.000 0.000
Re1 0.000 0.000 0.487
Re2 0.500 0.500 0.759
Os1 0.500 0.500 0.247
```

Material: La3Tb8Nd2
Method: DFT, PBE-GGA
State: optimized geometry

Computed properties:
total magnetic moment: 0.0 μB/cell
formation enthalpy at 0 K: 0.245 eV/atom

The structure in CIF format:
```
data_La3Tb8Nd2
_space_group_name_H-M_alt 'C 1 2/m 1'
_space_group_IT_number 12
_cell_length_a 20.614
_cell_length_b 7.753
_cell_length_c 5.691
_cell_angle_alpha 90.00
_cell_angle_beta 90.04
_cell_angle_gamma 90.00
loop_
_space_group_symop_operation_xyz
'x,y,z'
'-x,-y,-z'
'-x,y,-z'
'x,-y,z'
'x+1/2,y+1/2,z'
'-x+1/2,-y+1/2,-z'
'-x+1/2,y+1/2,-z'
'x+1/2,-y+1/2,z'
loop_
_atom_site_label
_atom_site_fract_x
_atom_site_fract_y
_atom_site_fract_z
La1 0.000 0.000 0.000
La2 0.000 0.299 0.500
Tb1 0.108 0.291 0.000
Tb2 0.134 0.000 0.500
Tb3 0.169 0.500 0.501
Nd1 0.242 0.000 0.999
```

Material: MgNbO3
Method: DFT, PBE-GGA
State: optimized geometry

Computed properties:
total magnetic moment: 0.0 μB/cell
raw formation energy: -2.07 eV per atom

The structure in CIF format:
```
data_MgNbO3
_space_group_name_H-M_alt 'P m -3 m'
_space_group_IT_number 221
_space_group_name_Hall '-P 4 2 3'
_cell_length_a 3.992
_cell_length_b 3.992
_cell_length_c 3.992
_cell_angle_alpha 90.00
_cell_angle_beta 90.00
_cell_angle_gamma 90.00
loop_
_atom_site_label
_atom_site_fract_x
_atom_site_fract_y
_atom_site_fract_z
Mg1 0.000 0.000 0.000
Nb1 0.500 0.500 0.500
O1 0.000 0.500 0.500
```

Material: SrCa2Cr
Method: DFT, PBE-GGA
State: optimized geometry

Computed properties:
total magnetic moment: 9.4 μB/cell
formation enthalpy at 0 K: 0.440 eV/atom

The structure in CIF format:
```
data_SrCa2Cr
_space_group_name_H-M_alt 'I -4 m 2'
_space_group_IT_number 119
_space_group_name_Hall 'I -4 -2'
_cell_length_a 5.353
_cell_length_b 5.353
_cell_length_c 10.035
_cell_angle_alpha 90.00
_cell_angle_beta 90.00
_cell_angle_gamma 90.00
loop_
_atom_site_label
_atom_site_fract_x
_atom_site_fract_y
_atom_site_fract_z
Sr1 0.000 0.000 0.000
Ca1 0.000 0.000 0.500
Ca2 0.000 0.500 0.750
Cr1 0.000 0.500 0.250
```

Material: PaHg2BiO8
Method: DFT, PBE-GGA
State: optimized geometry

Computed properties:
total magnetic moment: 0.0 μB/cell
raw formation energy: -1.10 eV per atom

The structure in CIF format:
```
data_PaHg2BiO8
_space_group_name_H-M_alt 'I -4 m 2'
_space_group_IT_number 119
_space_group_name_Hall 'I -4 -2'
_cell_length_a 6.929
_cell_length_b 6.929
_cell_length_c 7.608
_cell_angle_alpha 90.00
_cell_angle_beta 90.00
_cell_angle_gamma 90.00
loop_
_atom_site_label
_atom_site_fract_x
_atom_site_fract_y
_atom_site_fract_z
Pa1 0.000 0.000 0.000
Hg1 0.000 0.000 0.500
Hg2 0.000 0.500 0.750
Bi1 0.000 0.500 0.250
O1 0.000 0.183 0.269
O2 0.000 0.316 0.985
```

Material: MgTlP2
Method: DFT, PBE-GGA
State: optimized geometry

Computed properties:
total magnetic moment: 0.0 μB/cell
formation enthalpy at 0 K: 0.105 eV/atom

The structure in CIF format:
```
data_MgTlP2
_space_group_name_H-M_alt 'P m m 2'
_space_group_IT_number 25
_cell_length_a 3.890
_cell_length_b 3.900
_cell_length_c 5.533
_cell_angle_alpha 90.00
_cell_angle_beta 90.00
_cell_angle_gamma 90.00
loop_
_space_group_symop_operation_xyz
'x,y,z'
'-x,-y,z'
'-x,y,z'
'x,-y,z'
loop_
_atom_site_label
_atom_site_fract_x
_atom_site_fract_y
_atom_site_fract_z
Mg1 0.000 0.000 0.000
Tl1 0.500 0.500 0.501
P1 0.000 0.000 0.501
P2 0.500 0.500 0.001
```

Material: Ba2AgBPd6
Method: DFT, PBE-GGA
State: optimized geometry

Computed properties:
total magnetic moment: 0.0 μB/cell
formation enthalpy at 0 K: -0.429 eV/atom

The structure in CIF format:
```
data_Ba2AgBPd6
_space_group_name_H-M_alt 'R -3 m'
_space_group_IT_number 166
_space_group_name_Hall '-R 3 2"'
_cell_length_a 5.9954
_cell_length_b 5.9954
_cell_length_c 20.0793
_cell_angle_alpha 90.00
_cell_angle_beta 90.00
_cell_angle_gamma 120.00
loop_
_atom_site_label
_atom_site_fract_x
_atom_site_fract_y
_atom_site_fract_z
Ba1 0.0000 0.0000 0.2214
Ag1 0.0000 0.0000 0.5000
B1 0.0000 0.0000 0.0000
Pd1 0.0173 0.5086 0.2792
```

Material: ZrTl3Tc
Method: DFT, PBE-GGA
State: optimized geometry

Computed properties:
total magnetic moment: 0.0 μB/cell
formation enthalpy at 0 K: 0.987 eV/atom

The structure in CIF format:
```
data_ZrTl3Tc
_space_group_name_H-M_alt 'P m -3 m'
_space_group_IT_number 221
_space_group_name_Hall '-P 4 2 3'
_cell_length_a 5.204
_cell_length_b 5.204
_cell_length_c 5.204
_cell_angle_alpha 90.00
_cell_angle_beta 90.00
_cell_angle_gamma 90.00
loop_
_atom_site_label
_atom_site_fract_x
_atom_site_fract_y
_atom_site_fract_z
Zr1 0.000 0.000 0.000
Tl1 0.000 0.500 0.500
Tc1 0.500 0.500 0.500
```

Material: MgMoOs2I
Method: DFT, PBE-GGA
State: optimized geometry

Computed properties:
total magnetic moment: 0.0 μB/cell
raw formation energy: 2.65 eV per atom

The structure in CIF format:
```
data_MgMoOs2I
_space_group_name_H-M_alt 'P 4/m m m'
_space_group_IT_number 123
_space_group_name_Hall '-P 4 2'
_cell_length_a 4.575
_cell_length_b 4.575
_cell_length_c 4.848
_cell_angle_alpha 90.00
_cell_angle_beta 90.00
_cell_angle_gamma 90.00
loop_
_atom_site_label
_atom_site_fract_x
_atom_site_fract_y
_atom_site_fract_z
Mg1 0.000 0.000 0.000
Mo1 0.500 0.500 0.500
Os1 0.000 0.500 0.000
I1 0.000 0.000 0.500
```

Material: CsUPa2O8
Method: DFT, PBE-GGA
State: optimized geometry

Computed properties:
total magnetic moment: 1.0 μB/cell
raw formation energy: -3.09 eV per atom

The structure in CIF format:
```
data_CsUPa2O8
_space_group_name_H-M_alt 'P 1 2/m 1'
_space_group_IT_number 10
_cell_length_a 5.384
_cell_length_b 7.280
_cell_length_c 5.406
_cell_angle_alpha 90.00
_cell_angle_beta 93.02
_cell_angle_gamma 90.00
loop_
_space_group_symop_operation_xyz
'x,y,z'
'-x,-y,-z'
'-x,y,-z'
'x,-y,z'
loop_
_atom_site_label
_atom_site_fract_x
_atom_site_fract_y
_atom_site_fract_z
Cs1 0.000 0.000 0.000
U1 0.000 0.500 0.000
Pa1 0.500 0.253 0.500
O1 0.215 0.308 0.208
O2 0.313 0.500 0.682
O3 0.339 0.000 0.646
```

Material: CaAgMo2Os
Method: DFT, PBE-GGA
State: optimized geometry

Computed properties:
total magnetic moment: 0.0 μB/cell
formation enthalpy at 0 K: 2.791 eV/atom

The structure in CIF format:
```
data_CaAgMo2Os
_space_group_name_H-M_alt 'P 4/m m m'
_space_group_IT_number 123
_space_group_name_Hall '-P 4 2'
_cell_length_a 4.566
_cell_length_b 4.566
_cell_length_c 4.707
_cell_angle_alpha 90.00
_cell_angle_beta 90.00
_cell_angle_gamma 90.00
loop_
_atom_site_label
_atom_site_fract_x
_atom_site_fract_y
_atom_site_fract_z
Ca1 0.000 0.000 0.000
Ag1 0.000 0.000 0.500
Mo1 0.000 0.500 0.000
Os1 0.500 0.500 0.500
```

Material: YBiF2
Method: DFT, PBE-GGA
State: optimized geometry

Computed properties:
total magnetic moment: 0.0 μB/cell
raw formation energy: -2.58 eV per atom

The structure in CIF format:
```
data_YBiF2
_space_group_name_H-M_alt 'R -3 m'
_space_group_IT_number 166
_space_group_name_Hall '-R 3 2"'
_cell_length_a 3.8300
_cell_length_b 3.8300
_cell_length_c 19.6568
_cell_angle_alpha 90.00
_cell_angle_beta 90.00
_cell_angle_gamma 120.00
loop_
_atom_site_label
_atom_site_fract_x
_atom_site_fract_y
_atom_site_fract_z
Y1 0.0000 0.0000 0.0000
Bi1 0.0000 0.0000 0.5000
F1 0.0000 0.0000 0.3045
```

Material: Pm5BiPb2
Method: DFT, PBE-GGA
State: optimized geometry

Computed properties:
total magnetic moment: 9.8 μB/cell
formation enthalpy at 0 K: -0.555 eV/atom

The structure in CIF format:
```
data_Pm5BiPb2
_space_group_name_H-M_alt 'I 4/m c m'
_space_group_IT_number 140
_space_group_name_Hall '-I 4 2c'
_cell_length_a 8.469
_cell_length_b 8.469
_cell_length_c 14.196
_cell_angle_alpha 90.00
_cell_angle_beta 90.00
_cell_angle_gamma 90.00
loop_
_atom_site_label
_atom_site_fract_x
_atom_site_fract_y
_atom_site_fract_z
Pm1 0.000 0.000 0.000
Pm2 0.157 0.343 0.151
Bi1 0.000 0.000 0.250
Pb1 0.144 0.356 0.500
```

Material: MnAl2Ag
Method: DFT, PBE-GGA
State: optimized geometry

Computed properties:
total magnetic moment: 11.8 μB/cell
formation enthalpy at 0 K: 0.330 eV/atom

The structure in CIF format:
```
data_MnAl2Ag
_space_group_name_H-M_alt 'I -4 2 d'
_space_group_IT_number 122
_space_group_name_Hall 'I -4 2bw'
_cell_length_a 7.080
_cell_length_b 7.080
_cell_length_c 5.480
_cell_angle_alpha 90.00
_cell_angle_beta 90.00
_cell_angle_gamma 90.00
loop_
_atom_site_label
_atom_site_fract_x
_atom_site_fract_y
_atom_site_fract_z
Mn1 0.000 0.000 0.000
Al1 0.248 0.250 0.125
Ag1 0.000 0.000 0.500
```

Material: Pr5Np3N8
Method: DFT, PBE-GGA
State: optimized geometry

Computed properties:
total magnetic moment: 26.1 μB/cell
raw formation energy: -1.24 eV per atom

The structure in CIF format:
```
data_Pr5Np3N8
_space_group_name_H-M_alt 'R -3 m'
_space_group_IT_number 166
_space_group_name_Hall '-R 3 2"'
_cell_length_a 7.1417
_cell_length_b 7.1417
_cell_length_c 17.6375
_cell_angle_alpha 90.00
_cell_angle_beta 90.00
_cell_angle_gamma 120.00
loop_
_atom_site_label
_atom_site_fract_x
_atom_site_fract_y
_atom_site_fract_z
Pr1 0.0000 0.0000 0.0000
Pr2 0.0000 0.0000 0.5000
Pr3 0.0000 0.5000 0.0000
Np1 0.0000 0.5000 0.5000
N1 0.0000 0.0000 0.2384
N2 0.0214 0.5107 0.7610
```

Material: V2Tc2Sb
Method: DFT, PBE-GGA
State: optimized geometry

Computed properties:
total magnetic moment: 0.0 μB/cell
raw formation energy: 0.30 eV per atom

The structure in CIF format:
```
data_V2Tc2Sb
_space_group_name_H-M_alt 'I 4/m m m'
_space_group_IT_number 139
_space_group_name_Hall '-I 4 2'
_cell_length_a 3.976
_cell_length_b 3.976
_cell_length_c 10.953
_cell_angle_alpha 90.00
_cell_angle_beta 90.00
_cell_angle_gamma 90.00
loop_
_atom_site_label
_atom_site_fract_x
_atom_site_fract_y
_atom_site_fract_z
V1 0.000 0.000 0.118
Tc1 0.000 0.500 0.250
Sb1 0.000 0.000 0.500
```

Material: TmCdH6Rh2
Method: DFT, PBE-GGA
State: optimized geometry

Computed properties:
total magnetic moment: 0.0 μB/cell
uncorrected energy: -4.309 eV per atom

The structure in CIF format:
```
data_TmCdH6Rh2
_space_group_name_H-M_alt 'C 1 2/c 1'
_space_group_IT_number 15
_cell_length_a 7.697
_cell_length_b 9.318
_cell_length_c 5.559
_cell_angle_alpha 90.00
_cell_angle_beta 106.13
_cell_angle_gamma 90.00
loop_
_space_group_symop_operation_xyz
'x,y,z'
'-x,-y,-z'
'-x,y,-z+1/2'
'x,-y,z+1/2'
'x+1/2,y+1/2,z'
'-x+1/2,-y+1/2,-z'
'-x+1/2,y+1/2,-z+1/2'
'x+1/2,-y+1/2,z+1/2'
loop_
_atom_site_label
_atom_site_fract_x
_atom_site_fract_y
_atom_site_fract_z
Tm1 0.000 0.162 0.250
Cd1 0.000 0.381 0.750
H1 0.079 0.390 0.142
H2 0.162 0.001 0.060
H3 0.204 0.244 0.614
Rh1 0.199 0.118 0.821
```

Material: LiNd2HPd6
Method: DFT, PBE-GGA
State: optimized geometry

Computed properties:
total magnetic moment: 0.0 μB/cell
uncorrected energy: -5.188 eV per atom

The structure in CIF format:
```
data_LiNd2HPd6
_space_group_name_H-M_alt 'P -1'
_space_group_IT_number 2
_cell_length_a 5.960
_cell_length_b 6.136
_cell_length_c 6.150
_cell_angle_alpha 88.78
_cell_angle_beta 61.13
_cell_angle_gamma 61.04
loop_
_space_group_symop_operation_xyz
'x,y,z'
'-x,-y,-z'
loop_
_atom_site_label
_atom_site_fract_x
_atom_site_fract_y
_atom_site_fract_z
Li1 0.000 0.000 0.000
Nd1 0.499 0.239 0.762
H1 0.000 0.500 0.500
Pd1 0.001 0.267 0.731
Pd2 0.023 0.723 0.722
Pd3 0.468 0.277 0.278
```

Material: AgRhF6
Method: DFT, PBE-GGA
State: optimized geometry

Computed properties:
total magnetic moment: 2.0 μB/cell
raw formation energy: -1.39 eV per atom

The structure in CIF format:
```
data_AgRhF6
_space_group_name_H-M_alt 'P -1'
_space_group_IT_number 2
_cell_length_a 5.242
_cell_length_b 5.242
_cell_length_c 5.785
_cell_angle_alpha 63.19
_cell_angle_beta 63.13
_cell_angle_gamma 60.10
loop_
_space_group_symop_operation_xyz
'x,y,z'
'-x,-y,-z'
loop_
_atom_site_label
_atom_site_fract_x
_atom_site_fract_y
_atom_site_fract_z
Ag1 0.000 0.000 0.000
Rh1 0.500 0.500 0.500
F1 0.121 0.432 0.727
F2 0.280 0.879 0.273
F3 0.432 0.720 0.727
```